1.
The following is a DFT calculation (PBE-GGA) of a relaxed structure of CuHgOs2.

a b c (Å): 2.817 3.745 5.949
angles (deg): 90.00 90.00 90.00
Atoms (fractional coordinates):
Cu: 0.000 0.000 0.000
Hg: 0.500 0.500 0.244
Os: 0.000 0.000 0.562
Os: 0.500 0.500 0.747

Results
- Energy of formation: 448.9 meV/atom
- Symmetry: No. 25

2.
The following is a DFT calculation (PBE-GGA) of a relaxed structure of LaScFeI2.

a b c (Å): 5.610 5.610 4.650
angles (deg): 90.00 90.00 90.00
Atoms (fractional coordinates):
La: 0.000 0.000 0.000
Sc: 0.500 0.500 0.500
Fe: 0.500 0.500 0.000
I: 0.000 0.500 0.500
I: 0.500 0.000 0.500

Results
- Formation energy without anion corrections: 0.033 eV/atom
- Symmetry: No. 123

3.
The following is a DFT calculation (PBE-GGA) of a relaxed structure of NaHfMn2Cu.

a b c (Å): 4.647 4.647 4.541
angles (deg): 90.00 90.00 90.00
Atoms (fractional coordinates):
Na: 0.000 0.000 0.000
Hf: 0.500 0.500 0.000
Mn: 0.000 0.500 0.500
Mn: 0.500 0.000 0.500
Cu: 0.000 0.000 0.500

Results
- Energy of formation: 997.9 meV/atom
- Symmetry: No. 123

4.
The following is a DFT calculation (PBE-GGA) of a relaxed structure of GdAlCuAu.

a b c (Å): 6.718 6.718 6.718
angles (deg): 90.00 90.00 90.00
Atoms (fractional coordinates):
Gd: 0.000 0.000 0.000
Gd: 0.000 0.500 0.500
Gd: 0.500 0.000 0.500
Gd: 0.500 0.500 0.000
Al: 0.000 0.000 0.500
Al: 0.000 0.500 0.000
Al: 0.500 0.000 0.000
Al: 0.500 0.500 0.500
Cu: 0.250 0.250 0.750
Cu: 0.250 0.750 0.250
Cu: 0.750 0.250 0.250
Cu: 0.750 0.750 0.750
Au: 0.250 0.250 0.250
Au: 0.250 0.750 0.750
Au: 0.750 0.250 0.750
Au: 0.750 0.750 0.250

Results
- Energy of formation: -488.4 meV/atom
- Symmetry: No. 216

5.
The following is a DFT calculation (PBE-GGA) of a relaxed structure of MnVCu.

a b c (Å): 2.436 2.524 13.058
angles (deg): 90.00 90.00 90.00
Atoms (fractional coordinates):
Mn: 0.000 0.000 0.000
Mn: 0.500 0.500 0.500
V: 0.000 0.000 0.350
V: 0.500 0.500 0.850
Cu: 0.000 0.500 0.172
Cu: 0.500 0.000 0.672

Results
- Relative energy among the computed polymorphs: 0.000 eV per atom
- Energy of formation: 400.3 meV/atom
- Symmetry: No. 44

6.
The following is a DFT calculation (PBE-GGA) of a relaxed structure of ZnMoPt2.

a b c (Å): 2.783 2.783 7.863
angles (deg): 90.00 90.00 90.00
Atoms (fractional coordinates):
Zn: 0.000 0.000 0.000
Mo: 0.500 0.500 0.255
Pt: 0.000 0.000 0.498
Pt: 0.500 0.500 0.769

Results
- Energy of formation: -213.4 meV/atom
- Symmetry: No. 99

7.
The following is a DFT calculation (PBE-GGA) of a relaxed structure of TlTe3.

a b c (Å): 3.161 6.348 6.419
angles (deg): 90.00 90.00 90.00
Atoms (fractional coordinates):
Tl: 0.000 0.000 0.000
Te: 0.500 0.241 0.500
Te: 0.500 0.500 0.000
Te: 0.500 0.759 0.500

Results
- Formation energy without anion corrections: 0.033 eV/atom
- Symmetry: No. 47

8.
The following is a DFT calculation (PBE-GGA) of a relaxed structure of LaPm3Er8.

a b c (Å): 8.682 8.682 8.682
angles (deg): 136.95 97.80 97.68
Atoms (fractional coordinates):
La: 0.000 0.000 0.000
Pm: 0.253 0.500 0.753
Pm: 0.500 0.000 0.500
Pm: 0.747 0.500 0.247
Er: 0.077 0.827 0.251
Er: 0.253 0.005 0.752
Er: 0.253 0.502 0.248
Er: 0.424 0.173 0.251
Er: 0.576 0.827 0.749
Er: 0.747 0.498 0.752
Er: 0.747 0.995 0.248
Er: 0.923 0.173 0.749

Results
- Energy of formation: 295.6 meV/atom
- Symmetry: No. 71

9.
The following is a DFT calculation (PBE-GGA) of a relaxed structure of Hf3Ti3Tc2.

a b c (Å): 7.312 7.312 3.257
angles (deg): 90.00 90.00 120.00
Atoms (fractional coordinates):
Hf: 0.000 0.426 0.000
Hf: 0.426 0.000 0.000
Hf: 0.574 0.574 0.000
Ti: 0.000 0.769 0.500
Ti: 0.231 0.231 0.500
Ti: 0.769 0.000 0.500
Tc: 0.333 0.667 0.500
Tc: 0.667 0.333 0.500

Results
- Energy of formation: 22.4 meV/atom
- Symmetry: No. 189

10.
The following is a DFT calculation (PBE-GGA) of a relaxed structure of Zn2SnI6.

a b c (Å): 4.331 8.293 12.343
angles (deg): 71.72 80.17 74.90
Atoms (fractional coordinates):
Zn: 0.211 0.311 0.276
Zn: 0.789 0.689 0.724
Sn: 0.000 0.000 0.000
I: 0.145 0.600 0.112
I: 0.335 0.729 0.590
I: 0.391 0.030 0.192
I: 0.609 0.970 0.808
I: 0.665 0.271 0.410
I: 0.855 0.400 0.888

Results
- Formation energy without anion corrections: -0.492 eV/atom
- Relative energy among the computed polymorphs: 0.039 eV per atom
- Symmetry: No. 2

11.
The following is a DFT calculation (PBE-GGA) of a relaxed structure of Ca2YMn.

a b c (Å): 5.517 5.517 7.792
angles (deg): 90.00 90.00 90.00
Atoms (fractional coordinates):
Ca: 0.000 0.000 0.000
Ca: 0.000 0.500 0.250
Ca: 0.500 0.000 0.750
Ca: 0.500 0.500 0.500
Y: 0.000 0.000 0.500
Y: 0.500 0.500 0.000
Mn: 0.000 0.500 0.750
Mn: 0.500 0.000 0.250

Results
- Relative energy among the computed polymorphs: 0.185 eV per atom
- Energy of formation: 360.7 meV/atom
- Symmetry: No. 119

12.
The following is a DFT calculation (PBE-GGA) of a relaxed structure of NaLaTh.

a b c (Å): 3.598 3.598 16.381
angles (deg): 90.00 90.00 90.00
Atoms (fractional coordinates):
Na: 0.250 0.250 0.087
Na: 0.750 0.750 0.913
La: 0.250 0.250 0.729
La: 0.750 0.750 0.271
Th: 0.250 0.250 0.426
Th: 0.750 0.750 0.574

Results
- Relative energy among the computed polymorphs: 0.000 eV per atom
- Energy of formation: 36.2 meV/atom
- Symmetry: No. 129

Number 1: calculated volume 62.8 Å³ per cell, DFT total energy -25.1 eV per cell. Number 2: calculated volume 146.4 Å³ per cell, DFT total energy -22.7 eV per cell. Number 3: calculated volume 98.0 Å³ per cell, DFT total energy -28.7 eV per cell. Number 4: calculated volume 303.2 Å³ per cell, DFT total energy -108.6 eV per cell. Number 5: calculated volume 80.3 Å³ per cell, DFT total energy -42.4 eV per cell. Number 6: calculated volume 60.9 Å³ per cell, DFT total energy -25.0 eV per cell. Number 7: calculated volume 128.8 Å³ per cell, DFT total energy -11.7 eV per cell. Number 8: calculated volume 415.6 Å³ per cell, DFT total energy -52.1 eV per cell. Number 9: calculated volume 150.8 Å³ per cell, DFT total energy -74.1 eV per cell. Number 10: calculated volume 404.5 Å³ per cell, DFT total energy -20.3 eV per cell. Number 11: calculated volume 237.2 Å³ per cell, DFT total energy -36.4 eV per cell. Number 12: calculated volume 212.0 Å³ per cell, DFT total energy -27.1 eV per cell.